Entry 1:
SrCa2Ga, relaxed, DFT PBE; space-group type = No. 62; E_form = -233 meV/atom; total moment = 0.00 μB per cell; Fermi-level density of states = 14.6 states/eV/cell
1.0
6.665 0.000 0.000
0.000 9.008 0.000
0.000 0.000 9.635
Ca Ga Sr
8 4 4
direct
0.871 0.330 0.941
0.629 0.830 0.941
0.871 0.330 0.559
0.371 0.170 0.441
0.129 0.670 0.059
0.129 0.670 0.441
0.371 0.170 0.059
0.629 0.830 0.559
0.078 0.380 0.250
0.422 0.880 0.250
0.922 0.620 0.750
0.578 0.120 0.750
0.602 0.532 0.250
0.102 0.968 0.750
0.398 0.468 0.750
0.898 0.032 0.250

***

Entry 2:
SrCa4Ga5, relaxed, DFT PBE; space-group type = No. 123; E_form = -421 meV/atom; total moment = 0.00 μB per cell; Fermi-level density of states = 6.6 states/eV/cell
1.0
-1.606 -0.155 3.396
-3.377 -0.359 -1.613
1.891 -18.089 0.067
Ca Ga Sr
4 5 1
direct
0.000 0.000 0.402
0.000 0.000 0.207
0.000 0.000 0.793
0.000 0.000 0.598
0.500 0.500 0.886
0.500 0.500 0.114
0.500 0.500 0.304
0.500 0.500 0.696
0.500 0.500 0.500
0.000 0.000 0.000

***

Entry 3:
SrCaGa2, relaxed, DFT PBE; space-group type = No. 63; E_form = -424 meV/atom; total moment = 0.00 μB per cell; Fermi-level density of states = 6.8 states/eV/cell
1.0
4.287 0.000 0.000
-2.144 7.463 0.000
0.000 0.000 7.252
Ga Ca Sr
4 2 2
direct
0.586 0.172 0.436
0.586 0.172 0.064
0.414 0.828 0.564
0.414 0.828 0.936
0.048 0.095 0.750
0.952 0.905 0.250
0.228 0.457 0.250
0.772 0.543 0.750

***

Entry 4:
Sr2CaGa2, relaxed, DFT PBE; polymorph energy (0 for the lowest one) = 162.4 meV per atom; space-group type = No. 139; E_form = -168 meV/atom; total moment = 0.00 μB per cell; Fermi-level density of states = 3.0 states/eV/cell
1.0
-4.395 2.266 0.830
-1.521 -3.940 2.702
-0.432 2.016 7.348
Sr Ga Ca
2 2 1
direct
0.250 0.750 0.500
0.750 0.250 0.500
0.590 0.590 0.819
0.410 0.410 0.181
0.000 0.000 0.000

***

Entry 5:
SrCaGa2, relaxed, DFT PBE; space-group type = No. 38; E_form = -431 meV/atom; total moment = 0.00 μB per cell; Fermi-level density of states = 2.5 states/eV/cell
1.0
-0.302 4.256 -0.714
-4.014 -0.592 -1.831
-2.413 -1.411 5.747
Sr Ga Ca
1 2 1
direct
0.732 0.000 0.002
0.015 0.000 0.569
0.140 0.500 0.820
0.444 0.500 0.427

***

Entry 6:
SrCaGa2, relaxed, DFT PBE; space-group type = No. 123; E_form = -408 meV/atom; total moment = 0.00 μB per cell; Fermi-level density of states = 2.3 states/eV/cell
1.0
3.820 0.000 0.000
0.000 3.820 0.000
0.000 0.000 7.472
Ca Ga Sr
1 2 1
direct
0.500 0.500 0.000
0.000 0.000 0.214
0.000 0.000 0.786
0.500 0.500 0.500

***

Entry 7:
Sr2Ca3Ga4, relaxed, DFT PBE; space-group type = No. 14; E_form = -391 meV/atom; total moment = 0.00 μB per cell; Fermi-level density of states = 14.7 states/eV/cell
1.0
-4.830 -6.648 -0.621
3.052 -0.031 7.703
-6.530 4.501 2.605
Sr Ca Ga
4 6 8
direct
0.091 0.197 0.175
0.591 0.197 0.325
0.409 0.803 0.675
0.909 0.803 0.825
0.250 0.245 0.683
0.750 0.245 0.817
0.250 0.755 0.183
0.000 0.500 0.500
0.750 0.755 0.317
0.500 0.500 0.000
0.393 0.084 0.971
0.106 0.502 0.891
0.607 0.916 0.029
0.394 0.498 0.391
0.606 0.502 0.609
0.893 0.084 0.529
0.107 0.916 0.471
0.894 0.498 0.109

***

Entry 8:
Sr3Ca7Ga4, relaxed, DFT PBE; space-group type = No. 12; E_form = -241 meV/atom; total moment = 0.01 μB per cell; Fermi-level density of states = 18.0 states/eV/cell
1.0
-3.698 3.016 1.934
-2.952 -4.460 8.163
4.633 4.959 7.980
Ga Ca Sr
4 7 3
direct
0.674 0.425 0.228
0.894 0.887 0.326
0.106 0.113 0.674
0.326 0.575 0.772
0.830 0.422 0.917
0.309 0.849 0.532
0.508 0.758 0.226
0.000 0.000 0.000
0.691 0.151 0.468
0.492 0.242 0.774
0.170 0.578 0.083
0.692 0.824 0.793
0.308 0.176 0.207
0.000 0.500 0.500

***

Entry 9:
Sr2CaGa, relaxed, DFT PBE; space-group type = No. 123; E_form = -193 meV/atom; total moment = 0.00 μB per cell; Fermi-level density of states = 3.0 states/eV/cell
1.0
-2.889 -0.522 -2.658
0.370 -3.926 0.368
-6.668 0.051 7.235
Sr Ga Ca
2 1 1
direct
0.000 0.000 0.189
0.000 0.000 0.811
0.500 0.500 0.000
0.500 0.500 0.500

***

Entry 10:
Sr3CaGa, relaxed, DFT PBE; polymorph energy (0 for the lowest one) = 951.5 meV per atom; space-group type = No. 221; E_form = 797 meV/atom; total moment = 2.61 μB per cell; Fermi-level density of states = 8.3 states/eV/cell
1.0
-5.426 3.834 -0.057
-3.120 -4.473 -3.794
-2.228 -3.072 5.453
Ca Ga Sr
1 1 3
direct
0.000 0.000 0.000
0.500 0.500 0.500
0.000 0.500 0.000
0.500 0.000 0.000
0.000 0.000 0.500

***

Entry 11:
SrCaGa4, relaxed, DFT PBE; polymorph energy (0 for the lowest one) = 0.0 meV per atom; space-group type = No. 44; E_form = -490 meV/atom; total moment = 0.00 μB per cell; Fermi-level density of states = 1.5 states/eV/cell
1.0
-2.533 3.782 0.872
-0.842 0.943 5.777
3.276 4.874 0.694
Ga Ca Sr
4 1 1
direct
0.836 0.849 0.479
0.836 0.479 0.849
0.158 0.028 0.655
0.158 0.655 0.028
0.460 0.040 0.040
0.551 0.449 0.449

***

Entry 12:
SrCa3Ga4, relaxed, DFT PBE; space-group type = No. 51; E_form = -415 meV/atom; total moment = 0.00 μB per cell; Fermi-level density of states = 7.2 states/eV/cell
1.0
-1.203 -4.846 1.590
4.926 -2.849 -4.956
7.566 0.496 7.236
Ga Ca Sr
8 6 2
direct
0.500 0.233 0.500
0.999 0.233 0.250
0.001 0.233 0.750
0.500 0.233 0.000
0.500 0.767 0.000
0.999 0.767 0.250
0.500 0.767 0.500
0.001 0.767 0.750
0.501 0.500 0.750
0.499 0.500 0.250
0.501 0.000 0.750
0.499 0.000 0.250
0.000 0.000 0.000
0.000 0.000 0.500
0.000 0.500 0.000
0.000 0.500 0.500